The following is a DFT calculation (GGA-PBEsol) of a relaxed structure of Ba2LiPb.

Raw total energy = -2.87 eV per atom
Total moment = 0.0 μB per formula unit
SG = Cm (8)

Cell: 4.130 5.758 7.003 Å, 114.22 107.15 90.00°
Atoms (fractional coordinates):
Li 0.550 0.549 0.099
Ba 0.970 0.970 0.940
Pb 0.209 0.709 0.418
Ba 0.772 0.272 0.543